1.
CaTcW PBEsol optimized geometry; energy relative to the elements = 1062 meV/atom; ΔE to the lowest computed polymorph = 419 meV/atom; space-group type = F-43m; volume = 19.97 Å³/atom; uncorrected energy = -8.01 eV per atom
1.0
4.392 0.000 0.000
2.196 3.803 0.000
2.196 1.268 3.586
Ca Tc W
1 1 1
direct
0.500 0.500 0.500 Ca
0.250 0.250 0.250 Tc
0.000 0.000 0.000 W

2.
ScSnAu PBEsol optimized geometry; energy relative to the elements = -817 meV/atom; space-group type = F-43m; volume = 21.94 Å³/atom; uncorrected energy = -5.75 eV per atom
1.0
-4.528 0.133 -0.132
-2.416 -1.587 3.490
-2.262 2.869 2.681
Sc Au Sn
1 1 1
direct
0.500 0.500 0.500 Sc
0.250 0.250 0.250 Au
0.000 0.000 0.000 Sn

Please write out number 2 again, unchanged.
ScSnAu PBEsol optimized geometry; energy relative to the elements = -817 meV/atom; space-group type = F-43m; volume = 21.94 Å³/atom; uncorrected energy = -5.75 eV per atom
1.0
-4.528 0.133 -0.132
-2.416 -1.587 3.490
-2.262 2.869 2.681
Sc Au Sn
1 1 1
direct
0.500 0.500 0.500 Sc
0.250 0.250 0.250 Au
0.000 0.000 0.000 Sn